Compound: In2Ni6H
Source: Alexandria via LeMat-Bulk
Functional: PBE
Structure: optimized geometry

Geometry as extended XYZ:
```
9
Lattice="4.601 0.002 2.656 1.532 4.339 2.656 0.001 0.001 5.313" Properties=species:S:1:pos:R:3 pbc="T T T"
Ni 2.292 3.266 3.970
Ni 3.843 1.075 6.654
Ni 3.843 1.075 3.970
Ni 1.517 1.074 5.311
Ni 2.292 3.266 6.654
Ni 4.617 3.268 5.313
H 3.067 2.171 5.312
In 4.601 3.256 7.969
In 1.534 1.085 2.655
```

Results
As for the final energy: -44.5 eV/cell.

Compound: LiAl
Source: Alexandria via LeMat-Bulk
Functional: PBE
Structure: optimized geometry

Geometry as extended XYZ:
```
2
Lattice="-0.650 2.140 1.633 -1.430 -1.698 1.656 3.510 -0.700 2.314" Properties=species:S:1:pos:R:3 pbc="T T T"
Al 0.000 0.000 0.000
Li 0.715 -0.129 2.802
```

Results
As for the final energy: -5.9 eV/cell. The energy relative to the elements comes out at -113.5 meV/atom.

Compound: CeDy2Th
Source: Alexandria via LeMat-Bulk
Functional: PBE
Structure: optimized geometry

Geometry as extended XYZ:
```
4
Lattice="5.035 0.000 0.000 0.000 4.978 0.000 0.000 0.000 4.978" Properties=species:S:1:pos:R:3 pbc="T T T"
Dy 0.000 2.489 0.000
Dy 0.000 0.000 2.489
Ce 2.518 0.000 0.000
Th 2.518 2.489 2.489
```

Results
As for the final energy: -22.2 eV/cell. The energy relative to the elements comes out at 79.6 meV/atom. For the energy above the most stable polymorph in this dataset, the calculation gives 12 kJ/mol of formula units.

Compound: CoTcRh2
Source: Alexandria via LeMat-Bulk
Functional: PBE
Structure: optimized geometry

Geometry as extended XYZ:
```
4
Lattice="-4.093 1.988 -0.855 0.295 -1.050 4.500 1.069 2.412 0.493" Properties=species:S:1:pos:R:3 pbc="T T T"
Co 0.682 0.681 2.497
Rh 0.000 0.000 0.000
Rh -1.899 0.469 1.822
Tc -1.512 2.200 -0.181
```

Results
As for the final energy: -32.0 eV/cell. The energy relative to the elements comes out at 48.5 meV/atom. For the energy above the most stable polymorph in this dataset, the calculation gives 26 kJ/mol of formula units.

Compound: Pm2NdSm5Th
Source: Alexandria via LeMat-Bulk
Functional: PBE
Structure: optimized geometry

Geometry as extended XYZ:
```
18
Lattice="5.739 0.000 0.000 -2.870 10.223 0.000 0.000 0.000 10.586" Properties=species:S:1:pos:R:3 pbc="T T T"
Th 2.870 6.138 5.436
Th 0.000 4.085 0.143
Sm 0.000 0.330 0.237
Sm 2.870 0.437 2.539
Sm 2.870 4.174 2.184
Sm 0.000 6.049 7.477
Sm 2.870 9.893 5.530
Sm 0.000 7.942 0.271
Sm 2.870 2.281 5.564
Sm 2.870 4.578 8.643
Sm 0.000 5.645 3.350
Sm 0.000 9.785 7.831
Pm 2.870 7.859 8.684
Pm 0.000 2.366 7.728
Pm 0.000 2.364 3.391
Pm 2.870 7.857 2.436
Nd 2.870 1.830 10.050
Nd 0.000 8.393 4.757
```

Results
As for the final energy: -87.8 eV/cell. The energy relative to the elements comes out at 155.7 meV/atom.

Compound: Be2TcHg
Source: Alexandria via LeMat-Bulk
Functional: PBE
Structure: optimized geometry

Geometry as extended XYZ:
```
4
Lattice="2.913 0.000 0.000 0.000 2.913 0.000 0.000 0.000 6.168" Properties=species:S:1:pos:R:3 pbc="T T T"
Be 1.456 1.456 1.197
Be 0.000 0.000 0.113
Hg 0.000 0.000 2.907
Tc 1.456 1.456 5.035
```

Results
As for the final energy: -16.9 eV/cell. The energy relative to the elements comes out at 310.5 meV/atom.

Compound: SbSCl
Source: Alexandria via LeMat-Bulk
Functional: PBE
Structure: optimized geometry

Geometry as extended XYZ:
```
6
Lattice="3.961 0.000 0.000 -1.981 6.573 -1.056 0.000 0.147 7.522" Properties=species:S:1:pos:R:3 pbc="T T T"
Cl 1.981 4.901 4.281
Cl 0.000 1.820 2.185
S 0.000 4.753 -0.233
S 1.981 1.968 6.699
Sb 0.000 3.282 5.395
Sb 1.981 3.438 1.071
```

Results
As for the final energy: -23.3 eV/cell.

Compound: Ti2CoI
Source: Alexandria via LeMat-Bulk
Functional: PBE
Structure: optimized geometry

Geometry as extended XYZ:
```
4
Lattice="0.000 3.216 3.216 3.216 0.000 3.216 3.216 3.216 0.000" Properties=species:S:1:pos:R:3 pbc="T T T"
Ti 4.824 4.824 4.824
Ti 1.608 1.608 1.608
Co 0.000 0.000 0.000
I 3.216 3.216 3.216
```

Results
As for the final energy: -23.0 eV/cell. For the energy above the most stable polymorph in this dataset, the calculation gives 0 kJ/mol of formula units.

Look up the final energy of the sixth one.
-16.9 eV/cell

Among the records above, which one has the lowest final energy?
Pm2NdSm5Th